# 1
# Cd3Rh, single point on PBEsol structure, DFT SCAN
# formation enthalpy at 0 K	-57.4	meV per atom
# electronic total energy	-31.311	eV per atom
# crystal system	orthorhombic
data_Cd3Rh
_cell_length_a 3.0190
_cell_length_b 3.9659
_cell_length_c 5.9272
_cell_angle_alpha 90.00
_cell_angle_beta 90.00
_cell_angle_gamma 90.00
_symmetry_space_group_name_H-M 'P m m m'
_symmetry_Int_Tables_number 47
_symmetry_space_group_name_Hall '-P 2 2'
loop_
_atom_site_label
_atom_site_type_symbol
_atom_site_fract_x
_atom_site_fract_y
_atom_site_fract_z
Cd1 Cd 0.0000 0.0000 0.0000
Cd2 Cd 0.5000 0.5000 0.2690
Rh1 Rh 0.0000 0.0000 0.5000

# 2
# In2MoCl, single point on PBEsol structure, DFT SCAN
# energy relative to the lowest polymorph listed for this composition	0.2009	eV per atom
# electronic total energy	-27.116	eV per atom
# crystal system	orthorhombic
data_In2MoCl
_cell_length_a 2.8927
_cell_length_b 4.2818
_cell_length_c 13.6625
_cell_angle_alpha 90.00
_cell_angle_beta 90.00
_cell_angle_gamma 90.00
_symmetry_space_group_name_H-M 'I m m m'
_symmetry_Int_Tables_number 71
_symmetry_space_group_name_Hall '-I 2 2'
loop_
_atom_site_label
_atom_site_type_symbol
_atom_site_fract_x
_atom_site_fract_y
_atom_site_fract_z
In1 In 0.0000 0.0000 0.1846
Mo1 Mo 0.0000 0.5000 0.5000
Cl1 Cl 0.0000 0.5000 0.0000